# 1
YMgP2 PBE relaxed; total energy = -21.49 eV/cell; SG = Cmmm (65)
1.0
3.4782 -0.0090 0.0000
-0.9875 3.3351 0.0000
0.0000 0.0000 7.0310
P Y Mg
2 1 1
Direct
0.0000 0.0000 0.9922 P
0.0000 0.0000 0.5078 P
0.5000 0.5000 0.2500 Y
0.5000 0.5000 0.7500 Mg



# 2
La6SmYTm2 PBE relaxed; total energy = -97.31 eV/cell; SG = C2/c (15)
1.0
9.3573 -2.1125 -2.1923
0.7666 8.7578 -2.0720
0.7666 -2.3952 8.6750
Tm La Sm Y
4 12 2 2
Direct
0.4541 0.8042 0.7089 Tm
0.9541 0.7089 0.8042 Tm
0.0459 0.2911 0.1958 Tm
0.5459 0.1958 0.2911 Tm
0.8092 0.4395 0.9926 La
0.3785 0.5072 0.2951 La
0.4485 0.2401 0.8915 La
0.3092 0.9926 0.4395 La
0.5515 0.7599 0.1085 La
0.9485 0.8915 0.2401 La
0.1215 0.7049 0.4928 La
0.6908 0.0074 0.5605 La
0.6215 0.4928 0.7049 La
0.1908 0.5605 0.0074 La
0.8785 0.2951 0.5072 La
0.0515 0.1085 0.7599 La
0.7500 0.5901 0.4099 Sm
0.2500 0.4099 0.5901 Sm
0.7500 0.0269 0.9731 Y
0.2500 0.9731 0.0269 Y



# 3
CeBeRu2 PBE relaxed; ΔE to the lowest computed polymorph = 30 meV/atom; SG = Fm-3m (225)
1.0
-2.3073 -2.4681 2.9143
1.9281 -3.5078 1.9713
1.0045 0.1543 4.3416
Ru Be Ce
2 1 1
Direct
0.7496 0.7496 0.7512 Ru
0.2504 0.2504 0.2488 Ru
0.5000 0.5000 0.5000 Be
0.0000 0.0000 0.0000 Ce



# 4
BeZn2PbN PBE relaxed; energy relative to the elements, uncorrected = 1.705 eV per atom; SG = P4/mmm (123)
1.0
5.5843 0.0000 0.0000
0.0000 4.5816 0.0000
0.0000 0.0000 5.5843
Pb Zn N Be
1 2 1 1
Direct
0.0000 0.0000 0.0000 Pb
0.0000 0.0000 0.5000 Zn
0.5000 0.0000 0.0000 Zn
0.5000 0.5000 0.5000 N
0.0000 0.5000 0.0000 Be



# 5
LaVAg2 PBE relaxed; ΔE to the lowest computed polymorph = 0 meV/atom; SG = Fm-3m (225)
1.0
0.9468 -4.4681 -2.1706
-0.6624 -4.2745 2.6195
-3.8172 -3.1085 -1.1567
V Ag La
1 2 1
Direct
0.0000 0.0000 0.0000 V
0.2500 0.2500 0.2500 Ag
0.7500 0.7500 0.7500 Ag
0.5000 0.5000 0.5000 La



Computed total magnetization (Bohr magnetons per cell) in order:
0.00, 0.00, 0.00, 2.17, 3.33